Entry 1:
PmGa4Ru3 | PBE | optimized geometry

Structure (POSCAR):
```
PmGa4Ru3
1.0
4.430 0.000 0.000
0.000 6.669 0.000
0.000 0.000 8.843
Ga Ru Pm
8 6 2
Direct
0.013 0.209 0.750
0.500 0.210 0.500
0.987 0.791 0.250
0.500 0.790 0.500
0.987 0.209 0.250
0.013 0.791 0.750
0.500 0.790 0.000
0.500 0.210 0.000
0.474 0.500 0.750
0.526 0.500 0.250
0.512 0.000 0.750
0.488 0.000 0.250
0.000 0.000 0.500
0.000 0.000 0.000
0.000 0.500 0.000
0.000 0.500 0.500
```

Calculated values
Formation enthalpy at 0 K   -283.8 meV per atom
M_tot   0.00 μB/atom
Calculated total energy   -93.912 eV per cell
Volume   261 Å³/cell

---

Entry 2:
PrEr2Pb | PBE | optimized geometry

Structure (POSCAR):
```
PrEr2Pb
1.0
-0.373 -1.328 -4.093
1.359 -5.289 3.870
-9.187 -1.413 1.296
Pr Er Pb
2 4 2
Direct
0.945 0.890 0.250
0.055 0.110 0.750
0.635 0.270 0.049
0.365 0.730 0.549
0.635 0.270 0.451
0.365 0.730 0.951
0.242 0.484 0.250
0.758 0.516 0.750
```

Calculated values
Excess energy over the best structure of this formula in the dataset   0.070 eV/atom
Formation enthalpy at 0 K   -243.8 meV per atom
M_tot   0.22 μB/atom
Calculated total energy   -37.178 eV per cell
Volume   257 Å³/cell

---

Entry 3:
CoSb2 | PBE | optimized geometry

Structure (POSCAR):
```
CoSb2
1.0
1.565 6.674 0.049
-1.565 6.674 0.049
0.000 1.549 6.188
Co Sb
2 4
Direct
0.500 0.500 0.724
0.500 0.500 0.276
0.874 0.874 0.567
0.126 0.126 0.433
0.119 0.119 0.937
0.881 0.881 0.063
```

Calculated values
M_tot   0.07 μB/atom
Calculated total energy   -30.416 eV per cell
Energy relative to the elements, uncorrected   0.05 eV per atom
Volume   129 Å³/cell

---

Entry 4:
NaSrLaPb2 | PBE | optimized geometry

Structure (POSCAR):
```
NaSrLaPb2
1.0
6.084 0.000 0.000
0.000 5.991 0.000
0.000 0.000 6.084
Sr La Na Pb
1 1 1 2
Direct
0.500 0.500 0.500
0.000 0.000 0.000
0.000 0.500 0.000
0.000 0.000 0.500
0.500 0.000 0.000
```

Calculated values
Excess energy over the best structure of this formula in the dataset   0.078 eV/atom
Formation enthalpy at 0 K   197.8 meV per atom
M_tot   0.00 μB/atom
Calculated total energy   -14.356 eV per cell
Volume   222 Å³/cell

---

Entry 5:
AsCl | PBE | optimized geometry

Structure (POSCAR):
```
AsCl
1.0
-3.674 0.215 -4.427
-0.005 -5.750 -0.275
-4.432 -0.172 3.670
As Cl
4 4
Direct
0.357 0.357 0.357
0.857 0.143 0.643
0.143 0.643 0.857
0.643 0.857 0.143
0.632 0.368 0.868
0.368 0.868 0.632
0.868 0.632 0.368
0.132 0.132 0.132
```

Calculated values
M_tot   0.00 μB/atom
Calculated total energy   -23.564 eV per cell
Energy relative to the elements, uncorrected   0.30 eV per atom
Volume   191 Å³/cell

---

Entry 6:
MnTcIr2 | PBE | optimized geometry

Structure (POSCAR):
```
MnTcIr2
1.0
4.683 0.006 0.000
1.581 4.408 0.000
-3.132 -2.207 2.693
Ir Tc Mn
2 1 1
Direct
0.250 0.750 0.500
0.000 0.000 0.000
0.750 0.250 0.500
0.500 0.500 0.000
```

Calculated values
Excess energy over the best structure of this formula in the dataset   0.048 eV/atom
Formation enthalpy at 0 K   -130.9 meV per atom
M_tot   0.38 μB/atom
Calculated total energy   -37.781 eV per cell
Volume   56 Å³/cell

---

Entry 7:
La3HoPb5 | PBE | optimized geometry

Structure (POSCAR):
```
La3HoPb5
1.0
6.740 0.000 0.000
0.000 8.497 -4.906
0.000 0.000 9.812
Pb La Ho
10 6 2
Direct
0.250 0.720 0.720
0.750 0.720 0.000
0.500 0.333 0.667
0.250 0.000 0.280
0.250 0.280 0.000
0.000 0.667 0.333
0.750 0.280 0.280
0.000 0.333 0.667
0.500 0.667 0.333
0.750 0.000 0.720
0.250 0.383 0.383
0.250 0.617 0.000
0.750 0.000 0.383
0.750 0.617 0.617
0.750 0.383 0.000
0.250 0.000 0.617
0.000 0.000 0.000
0.500 0.000 0.000
```

Calculated values
Formation enthalpy at 0 K   -536.8 meV per atom
M_tot   0.00 μB/atom
Calculated total energy   -85.467 eV per cell
Volume   562 Å³/cell

---

Entry 8:
Tb2Er3Tm9 | PBE | optimized geometry

Structure (POSCAR):
```
Tb2Er3Tm9
1.0
5.650 0.425 2.307
3.303 7.996 5.598
2.839 3.009 12.607
Er Tm Tb
3 9 2
Direct
0.000 0.000 0.000
0.634 0.347 0.273
0.366 0.653 0.727
0.403 0.991 0.696
0.013 0.840 0.494
0.987 0.160 0.506
0.194 0.514 0.103
0.597 0.009 0.304
0.739 0.834 0.917
0.806 0.486 0.897
0.261 0.166 0.083
0.000 0.500 0.500
0.578 0.671 0.298
0.422 0.329 0.702
```

Calculated values
Formation enthalpy at 0 K   124.9 meV per atom
M_tot   0.00 μB/atom
Calculated total energy   -61.444 eV per cell
Volume   434 Å³/cell

---

Entry 9:
Pa2AlBi | PBE | optimized geometry

Structure (POSCAR):
```
Pa2AlBi
1.0
3.203 0.000 0.000
1.601 2.774 0.000
1.601 0.925 11.926
Pa Al Bi
2 1 1
Direct
0.085 0.085 0.745
0.915 0.915 0.255
0.000 0.000 0.000
0.500 0.500 0.500
```

Calculated values
Excess energy over the best structure of this formula in the dataset   0.371 eV/atom
Formation enthalpy at 0 K   362.7 meV per atom
M_tot   0.13 μB/atom
Calculated total energy   -25.165 eV per cell
Volume   106 Å³/cell

---

Entry 10:
Na2MgCd2 | PBE | optimized geometry

Structure (POSCAR):
```
Na2MgCd2
1.0
4.128 0.000 0.000
0.000 4.128 0.000
2.064 2.064 7.831
Cd Na Mg
2 2 1
Direct
0.593 0.593 0.815
0.407 0.407 0.185
0.250 0.750 0.500
0.750 0.250 0.500
0.000 0.000 0.000
```

Calculated values
Excess energy over the best structure of this formula in the dataset   0.139 eV/atom
Formation enthalpy at 0 K   89.2 meV per atom
M_tot   0.00 μB/atom
Calculated total energy   -5.617 eV per cell
Volume   133 Å³/cell

---

Entry 11:
SrNbCo3 | PBE | optimized geometry

Structure (POSCAR):
```
SrNbCo3
1.0
4.553 0.000 0.000
0.000 4.553 0.000
0.000 0.000 4.553
Co Sr Nb
3 1 1
Direct
0.500 0.000 0.000
0.000 0.500 0.000
0.000 0.000 0.500
0.000 0.000 0.000
0.500 0.500 0.500
```

Calculated values
Excess energy over the best structure of this formula in the dataset   1.395 eV/atom
Formation enthalpy at 0 K   2191.5 meV per atom
M_tot   0.90 μB/atom
Calculated total energy   -22.112 eV per cell
Volume   94 Å³/cell

---

Entry 12:
Ba2LaCu | PBE | optimized geometry

Structure (POSCAR):
```
Ba2LaCu
1.0
-1.183 10.738 3.212
-1.642 8.756 6.904
2.216 9.619 5.440
La Cu Ba
1 1 2
Direct
0.750 0.750 0.750
0.250 0.250 0.250
0.980 0.980 0.980
0.520 0.520 0.520
```

Calculated values
Excess energy over the best structure of this formula in the dataset   0.179 eV/atom
Formation enthalpy at 0 K   221.1 meV per atom
M_tot   0.20 μB/atom
Calculated total energy   -11.985 eV per cell
Volume   169 Å³/cell